(1)
Material: LiMn2Be
Method: DFT, PBE
State: optimized geometry

Lattice parameters (Å, degrees): 8.385 8.385 8.385 16.94 16.94 16.94
Fractional positions:
Mn 0.250 0.250 0.250
Mn 0.992 0.992 0.992
Li 0.752 0.752 0.752
Be 0.506 0.506 0.506

Computed properties:
Calculated volume, Å³/atom: 10.9
Magnetization, μB/f.u.: 0.00
SG: No. 160
DFT formation energy, eV per atom: 0.156

(2)
Material: LiMn2Be
Method: DFT, PBE
State: optimized geometry

Lattice parameters (Å, degrees): 4.109 4.109 4.512 86.10 86.10 33.07
Fractional positions:
Li 0.244 0.244 0.272
Mn 0.764 0.764 0.768
Mn 0.002 0.002 0.971
Be 0.491 0.491 0.489

Computed properties:
Calculated volume, Å³/atom: 10.4
Magnetization, μB/f.u.: 0.00
SG: No. 8
DFT formation energy, eV per atom: 0.216